The following is a PBE calculation of crystalline HfAl4In at its relaxed geometry, from Alexandria via LeMat-Bulk.

a b c (Å): 5.377 5.377 5.377
angles (deg): 60.00 60.00 60.00
Fractional coordinates of all 6 atoms:
1 Hf 0.000 0.000 0.000
2 Al 0.625 0.625 0.124
3 Al 0.625 0.124 0.625
4 Al 0.625 0.625 0.625
5 Al 0.124 0.625 0.625
6 In 0.250 0.250 0.250

- V: 18.3 A^3/atom
- Density of states at the Fermi level: 0.53 states/eV per atom
- DFT total energy: -28.3 eV for the cell shown

The following is a PBE calculation of crystalline Ho3ThTe4 at its relaxed geometry, from Alexandria via LeMat-Bulk.

a b c (Å): 4.307 7.614 7.614
angles (deg): 108.81 90.00 90.00
Fractional coordinates of all 8 atoms:
1 Ho 0.000 0.000 0.500
2 Ho 0.500 0.500 0.500
3 Ho 0.000 0.500 0.000
4 Th 0.500 0.000 0.000
5 Te 0.000 0.260 0.260
6 Te 0.500 0.745 0.255
7 Te 0.000 0.740 0.740
8 Te 0.500 0.255 0.745

- V: 29.5 A^3/atom
- Relative energy among the computed polymorphs: 0.010 eV per atom
- Raw formation energy: -904.6 kJ/mol of formula units
- Density of states at the Fermi level: 0.65 states/eV per atom

The following is a PBE calculation of crystalline K4Nd3US8 at its relaxed geometry, from Alexandria via LeMat-Bulk.

a b c (Å): 8.335 8.824 8.335
angles (deg): 118.19 120.00 90.00
Site moments in Bohr magnetons follow the coordinates.
Fractional coordinates of all 16 atoms:
1 K 0.500 0.000 0.000  0.00
2 K 0.500 0.000 0.500  0.00
3 K 0.000 0.000 0.000  0.00
4 K 0.000 0.000 0.500  0.00
5 Nd 0.500 0.500 0.000  0.06
6 Nd 0.500 0.500 0.500  0.06
7 Nd 0.000 0.500 0.500  0.06
8 U 0.000 0.500 0.000  2.52
9 S 0.231 0.706 0.974  -0.02
10 S 0.231 0.706 0.463  -0.02
11 S 0.263 0.290 0.527  0.00
12 S 0.743 0.706 0.974  -0.02
13 S 0.257 0.294 0.026  -0.02
14 S 0.737 0.710 0.473  0.00
15 S 0.769 0.294 0.537  -0.02
16 S 0.769 0.294 0.026  -0.02

- V: 27.8 A^3/atom
- Raw formation energy: -2657.6 kJ/mol of formula units
- Density of states at the Fermi level: 0.53 states/eV per atom

The following is a PBE calculation of crystalline NpH3F6 at its relaxed geometry, from Alexandria via LeMat-Bulk.

a b c (Å): 6.248 6.248 6.248
angles (deg): 103.85 103.85 103.85
Site moments in Bohr magnetons follow the coordinates.
Fractional coordinates of all 20 atoms:
1 Np 0.000 0.000 0.000  3.96
2 Np 0.500 0.500 0.500  3.99
3 H 0.508 0.084 0.728  0.00
4 H 0.084 0.728 0.508  0.00
5 H 0.272 0.492 0.916  0.00
6 H 0.728 0.508 0.084  0.00
7 H 0.916 0.272 0.492  0.00
8 H 0.492 0.916 0.272  0.00
9 F 0.378 0.063 0.227  -0.01
10 F 0.937 0.773 0.622  -0.01
11 F 0.585 0.804 0.298  0.00
12 F 0.773 0.622 0.937  -0.01
13 F 0.298 0.585 0.804  0.00
14 F 0.196 0.702 0.415  0.00
15 F 0.804 0.298 0.585  0.00
16 F 0.702 0.415 0.196  0.00
17 F 0.227 0.378 0.063  -0.01
18 F 0.415 0.196 0.702  0.00
19 F 0.063 0.227 0.378  -0.01
20 F 0.622 0.937 0.773  -0.01

- V: 10.9 A^3/atom
- Density of states at the Fermi level: 0.51 states/eV per atom
- DFT total energy: -114.3 eV for the cell shown

The following is a PBE calculation of crystalline Ac2PrGe3Ir4 at its relaxed geometry, from Alexandria via LeMat-Bulk.

a b c (Å): 4.326 4.326 11.525
angles (deg): 90.00 90.00 90.00
Fractional coordinates of all 10 atoms:
1 Ac 0.500 0.000 0.232
2 Ac 0.000 0.500 0.768
3 Pr 0.500 0.500 0.500
4 Ge 0.000 0.000 0.500
5 Ge 0.500 0.000 0.884
6 Ge 0.000 0.500 0.116
7 Ir 0.500 0.500 0.000
8 Ir 0.000 0.000 0.000
9 Ir 0.500 0.000 0.667
10 Ir 0.000 0.500 0.333

- V: 21.6 A^3/atom
- Density of states at the Fermi level: 0.41 states/eV per atom
- DFT total energy: -69.3 eV for the cell shown

The following is a PBE calculation of crystalline Ac2Pr4Y3 at its relaxed geometry, from Alexandria via LeMat-Bulk.

a b c (Å): 5.281 6.480 11.160
angles (deg): 73.35 89.99 65.96
Fractional coordinates of all 9 atoms:
1 Ac 0.334 0.333 0.776
2 Ac 0.666 0.667 0.224
3 Pr 0.666 0.668 0.888
4 Pr 0.001 0.998 0.337
5 Pr 0.999 0.002 0.663
6 Pr 0.334 0.332 0.112
7 Y 0.336 0.327 0.446
8 Y 0.000 0.000 0.000
9 Y 0.664 0.673 0.554

- V: 36.8 A^3/atom
- Relative energy among the computed polymorphs: 0.000 eV per atom
- Density of states at the Fermi level: 1.68 states/eV per atom

The following is a PBE calculation of crystalline PrMgCuRu at its relaxed geometry, from Alexandria via LeMat-Bulk.

a b c (Å): 4.799 4.799 4.799
angles (deg): 60.00 60.00 60.00
Fractional coordinates of all 4 atoms:
1 Pr 0.250 0.250 0.250
2 Ru 0.500 0.500 0.500
3 Mg 0.750 0.750 0.750
4 Cu 0.000 0.000 0.000

- V: 19.5 A^3/atom
- Density of states at the Fermi level: 0.57 states/eV per atom
- DFT total energy: -19.7 eV for the cell shown

The following is a PBE calculation of crystalline KLiAcI5 at its relaxed geometry, from Alexandria via LeMat-Bulk.

a b c (Å): 8.718 8.718 11.883
angles (deg): 103.48 103.48 107.85
Fractional coordinates of all 16 atoms:
1 K 0.367 0.633 0.250
2 K 0.633 0.367 0.750
3 Li 0.690 0.310 0.250
4 Li 0.310 0.690 0.750
5 Ac 0.000 0.000 0.500
6 Ac 0.000 0.000 0.000
7 I 0.102 0.898 0.250
8 I 0.898 0.102 0.750
9 I 0.935 0.334 0.135
10 I 0.065 0.666 0.865
11 I 0.666 0.065 0.365
12 I 0.334 0.935 0.635
13 I 0.743 0.605 0.436
14 I 0.257 0.395 0.564
15 I 0.395 0.257 0.064
16 I 0.605 0.743 0.936

- V: 49.3 A^3/atom
- Raw formation energy: -1100.0 kJ/mol of formula units
- Density of states at the Fermi level: 0.00 states/eV per atom

The following is a PBE calculation of crystalline Ti2NO at its relaxed geometry, from Alexandria via LeMat-Bulk.

a b c (Å): 2.885 5.472 5.039
angles (deg): 90.00 90.00 90.00
Fractional coordinates of all 8 atoms:
1 Ti 0.250 0.498 0.234
2 Ti 0.750 0.502 0.766
3 Ti 0.750 0.998 0.766
4 Ti 0.250 0.002 0.234
5 N 0.750 0.250 0.085
6 N 0.250 0.750 0.915
7 O 0.250 0.250 0.583
8 O 0.750 0.750 0.417

- V: 9.9 A^3/atom
- Relative energy among the computed polymorphs: 0.119 eV per atom
- Raw formation energy: -748.4 kJ/mol of formula units
- Density of states at the Fermi level: 0.59 states/eV per atom

The following is a PBE calculation of crystalline Cd3GaBr at its relaxed geometry, from Alexandria via LeMat-Bulk.

a b c (Å): 5.800 5.800 5.800
angles (deg): 90.00 90.00 90.00
Fractional coordinates of all 5 atoms:
1 Ga 0.500 0.500 0.500
2 Br 0.000 0.000 0.000
3 Cd 0.000 0.500 0.000
4 Cd 0.000 0.000 0.500
5 Cd 0.500 0.000 0.000

- V: 39.0 A^3/atom
- Relative energy among the computed polymorphs: 0.596 eV per atom
- Raw formation energy: 244.9 kJ/mol of formula units
- Density of states at the Fermi level: 0.40 states/eV per atom

The following is a PBE calculation of crystalline RbGaGe2Mo at its relaxed geometry, from Alexandria via LeMat-Bulk.

a b c (Å): 5.033 5.759 5.033
angles (deg): 90.00 90.00 90.00
Site moments in Bohr magnetons follow the coordinates.
Fractional coordinates of all 5 atoms:
1 Mo 0.500 0.500 0.500  3.73
2 Ga 0.000 0.000 0.000  0.02
3 Ge 0.000 0.000 0.500  -0.09
4 Ge 0.500 0.000 0.000  -0.10
5 Rb 0.000 0.500 0.000  0.03

- V: 29.2 A^3/atom
- Density of states at the Fermi level: 0.43 states/eV per atom
- DFT total energy: -17.6 eV for the cell shown

The following is a PBE calculation of crystalline CoAgHg2 at its relaxed geometry, from Alexandria via LeMat-Bulk.

a b c (Å): 4.820 4.820 3.122
angles (deg): 90.00 90.00 96.81
Site moments in Bohr magnetons follow the coordinates.
Fractional coordinates of all 4 atoms:
1 Ag 0.500 0.000 0.500  0.00
2 Co 0.000 0.500 0.500  1.56
3 Hg 0.000 0.000 0.000  -0.03
4 Hg 0.500 0.500 0.000  -0.03

- V: 18.0 A^3/atom
- Relative energy among the computed polymorphs: 0.044 eV per atom
- Density of states at the Fermi level: 0.86 states/eV per atom

The following is a PBE calculation of crystalline Li2MgRh at its relaxed geometry, from Alexandria via LeMat-Bulk.

a b c (Å): 3.214 3.214 6.182
angles (deg): 90.00 90.00 90.00
Fractional coordinates of all 4 atoms:
1 Mg 0.000 0.000 0.542
2 Rh 0.500 0.500 0.765
3 Li 0.000 0.000 0.972
4 Li 0.500 0.500 0.221

- V: 16.0 A^3/atom
- Density of states at the Fermi level: 0.25 states/eV per atom
- DFT total energy: -13.6 eV for the cell shown

The following is a PBE calculation of crystalline Cs2TaGaBr6 at its relaxed geometry, from Alexandria via LeMat-Bulk.

a b c (Å): 8.034 8.034 8.034
angles (deg): 60.00 60.00 90.00
Site moments in Bohr magnetons follow the coordinates.
Fractional coordinates of all 10 atoms:
1 Cs 0.750 0.250 0.500  0.00
2 Cs 0.250 0.750 0.500  0.00
3 Ga 0.500 0.500 0.000  0.00
4 Br 0.233 0.233 0.535  0.00
5 Br 0.767 0.767 0.465  0.00
6 Br 0.233 0.233 0.000  0.00
7 Br 0.767 0.767 0.000  0.00
8 Br 0.767 0.233 0.000  0.00
9 Br 0.233 0.767 0.000  0.00
10 Ta 0.000 0.000 0.000  1.34

- V: 36.7 A^3/atom
- Raw formation energy: -1051.7 kJ/mol of formula units
- Density of states at the Fermi level: 0.98 states/eV per atom

The following is a PBE calculation of crystalline IrOsCl2 at its relaxed geometry, from Alexandria via LeMat-Bulk.

a b c (Å): 4.082 4.082 3.720
angles (deg): 90.00 90.00 90.00
Fractional coordinates of all 4 atoms:
1 Ir 0.500 0.000 0.500
2 Os 0.000 0.500 0.500
3 Cl 0.000 0.000 0.000
4 Cl 0.500 0.500 0.000

- V: 15.5 A^3/atom
- Relative energy among the computed polymorphs: 1.488 eV per atom
- Raw formation energy: 624.1 kJ/mol of formula units
- Density of states at the Fermi level: 1.33 states/eV per atom

The following is a PBE calculation of crystalline Y2AgTe4 at its relaxed geometry, from Alexandria via LeMat-Bulk.

a b c (Å): 7.721 6.255 8.885
angles (deg): 90.00 101.64 90.00
Fractional coordinates of all 14 atoms:
1 Y 0.814 0.750 0.115
2 Y 0.186 0.250 0.885
3 Y 0.253 0.250 0.437
4 Y 0.747 0.750 0.563
5 Ag 0.245 0.750 0.157
6 Ag 0.755 0.250 0.843
7 Te 0.544 0.494 0.269
8 Te 0.045 0.750 0.867
9 Te 0.955 0.250 0.133
10 Te 0.544 0.006 0.269
11 Te 0.915 0.250 0.585
12 Te 0.456 0.994 0.731
13 Te 0.456 0.506 0.731
14 Te 0.085 0.750 0.415

- V: 30.0 A^3/atom
- Raw formation energy: -620.7 kJ/mol of formula units
- Density of states at the Fermi level: 0.12 states/eV per atom

The following is a PBE calculation of crystalline Cs2PrUS4 at its relaxed geometry, from Alexandria via LeMat-Bulk.

a b c (Å): 4.200 7.273 8.464
angles (deg): 106.65 90.00 90.00
Site moments in Bohr magnetons follow the coordinates.
Fractional coordinates of all 8 atoms:
1 Cs 0.500 0.000 0.500  0.01
2 Cs 0.000 0.500 0.500  0.01
3 Pr 0.500 0.500 0.000  0.10
4 U 0.000 0.000 0.000  2.55
5 S 0.500 0.217 0.183  -0.04
6 S 0.500 0.783 0.817  -0.04
7 S 0.000 0.261 0.813  -0.02
8 S 0.000 0.739 0.187  -0.02

- V: 31.0 A^3/atom
- Raw formation energy: -1200.3 kJ/mol of formula units
- Density of states at the Fermi level: 0.85 states/eV per atom

The following is a PBE calculation of crystalline K2Fe2C at its relaxed geometry, from Alexandria via LeMat-Bulk.

a b c (Å): 9.756 9.756 2.847
angles (deg): 90.00 90.00 90.00
Site moments in Bohr magnetons follow the coordinates.
Fractional coordinates of all 10 atoms:
1 C 0.000 0.000 0.000  0.72
2 C 0.500 0.500 0.000  0.72
3 K 0.290 0.790 0.000  0.00
4 K 0.790 0.710 0.000  0.00
5 K 0.710 0.210 0.000  0.00
6 K 0.210 0.290 0.000  0.00
7 Fe 0.076 0.576 0.500  2.78
8 Fe 0.576 0.924 0.500  2.78
9 Fe 0.924 0.424 0.500  2.78
10 Fe 0.424 0.076 0.500  2.78

- V: 27.1 A^3/atom
- Relative energy among the computed polymorphs: 0.501 eV per atom
- Density of states at the Fermi level: 0.99 states/eV per atom

The following is a PBE calculation of crystalline KCd4In8 at its relaxed geometry, from Alexandria via LeMat-Bulk.

a b c (Å): 5.938 8.292 8.292
angles (deg): 82.64 69.02 69.02
Fractional coordinates of all 13 atoms:
1 K 0.000 0.000 0.000
2 Cd 0.000 0.000 0.500
3 Cd 0.500 0.000 0.500
4 Cd 0.000 0.500 0.000
5 Cd 0.500 0.500 0.000
6 In 0.000 0.354 0.646
7 In 0.000 0.646 0.354
8 In 0.354 0.646 0.646
9 In 0.646 0.354 0.354
10 In 0.500 0.788 0.212
11 In 0.500 0.212 0.788
12 In 0.288 0.212 0.212
13 In 0.712 0.788 0.788

- V: 27.4 A^3/atom
- Relative energy among the computed polymorphs: 0.000 eV per atom
- Density of states at the Fermi level: 0.34 states/eV per atom

The following is a PBE calculation of crystalline SrCd4Cu at its relaxed geometry, from Alexandria via LeMat-Bulk.

a b c (Å): 5.923 5.923 5.923
angles (deg): 60.00 60.00 60.00
Fractional coordinates of all 6 atoms:
1 Sr 0.000 0.000 0.000
2 Cd 0.873 0.376 0.376
3 Cd 0.376 0.376 0.873
4 Cd 0.376 0.873 0.376
5 Cd 0.376 0.376 0.376
6 Cu 0.750 0.750 0.750

- V: 24.5 A^3/atom
- Relative energy among the computed polymorphs: 0.161 eV per atom
- Density of states at the Fermi level: 0.66 states/eV per atom